Record 1
ZrOs: relaxed, PBE-GGA.

Output
- Symmetry: No. 223
- Formation energy from the elements: 1.40 eV/atom
- Raw total energy: -101.8 eV for the cell shown

a = 7.3187 Å, b = 7.3187 Å, c = 7.3187 Å
α = 90.00°, β = 90.00°, γ = 90.00°
Last column: nearest neighbours and their distance in Å.
Fractional coordinates of all 12 atoms:
Zr (0.0000, 0.2500, 0.5000)  4 Os 2.59
Zr (0.0000, 0.7500, 0.5000)  4 Os 2.59
Zr (0.2500, 0.5000, 0.0000)  4 Os 2.59
Zr (0.5000, 0.0000, 0.2500)  4 Os 2.59
Zr (0.5000, 0.0000, 0.7500)  4 Os 2.59
Zr (0.7500, 0.5000, 0.0000)  4 Os 2.59
Os (0.0000, 0.5000, 0.2500)  4 Zr 2.59
Os (0.0000, 0.5000, 0.7500)  4 Zr 2.59
Os (0.2500, 0.0000, 0.5000)  4 Zr 2.59
Os (0.5000, 0.2500, 0.0000)  4 Zr 2.59
Os (0.5000, 0.7500, 0.0000)  4 Zr 2.59
Os (0.7500, 0.0000, 0.5000)  4 Zr 2.59

---

Record 2
TiBPS2: relaxed, PBE-GGA.

Output
- ΔE_f (raw): 384.2 meV/atom
- Symmetry: No. 123
- Raw total energy: -26.3 eV for the cell shown
- Offset from the most stable computed form: 0.0000 eV per atom

a = 4.2721 Å, b = 4.2721 Å, c = 3.9597 Å
α = 90.00°, β = 90.00°, γ = 90.00°
Last column: nearest neighbours and their distance in Å.
Fractional coordinates of all 5 atoms:
Ti (0.0000, 0.0000, 0.0000)  8 S 2.91, 4 P 3.02
B (0.5000, 0.5000, 0.5000)  2 P 1.98, 4 S 2.14
P (0.5000, 0.5000, 0.0000)  2 B 1.98
S (0.0000, 0.5000, 0.5000)  2 B 2.14
S (0.5000, 0.0000, 0.5000)  2 B 2.14

---

Record 3
PrHoO2: relaxed, PBE-GGA.

Output
- ΔE_f (raw): -2702.1 meV/atom
- Symmetry: No. 160
- Raw total energy: -30.1 eV for the cell shown
- Offset from the most stable computed form: 0.1140 eV per atom

a = 6.4272 Å, b = 6.4272 Å, c = 6.4272 Å
α = 31.18°, β = 31.18°, γ = 31.18°
Last column: nearest neighbours and their distance in Å.
Fractional coordinates of all 4 atoms:
Pr (0.0000, 0.0000, 0.0000)  6 O 2.64-2.78
Ho (0.8232, 0.8232, 0.8232)  6 O 2.30-2.38
O (0.2279, 0.2279, 0.2279)  3 Ho 2.38
O (0.4277, 0.4277, 0.4277)  3 Ho 2.30

---

Record 4
LiDyY2Au4: relaxed, PBE-GGA.

Output
- Symmetry: No. 166
- Formation energy from the elements: -0.78 eV/atom
- Raw total energy: -38.8 eV for the cell shown

a = 8.6895 Å, b = 8.6895 Å, c = 8.6895 Å
α = 33.43°, β = 33.43°, γ = 33.43°
Last column: nearest neighbours and their distance in Å.
Fractional coordinates of all 8 atoms:
Li (0.0000, 0.0000, 0.0000)  8 Au 3.09-3.17, 6 Y 3.45
Dy (0.5000, 0.5000, 0.5000)  8 Au 2.99-3.03
Y (0.2563, 0.2563, 0.2563)  8 Au 2.99-3.15
Y (0.7437, 0.7437, 0.7437)  8 Au 2.99-3.15
Au (0.1289, 0.1289, 0.1289)  3 Dy 3.03, 4 Y 3.13-3.15, 1 Li 3.17
Au (0.3783, 0.3783, 0.3783)  4 Y 2.99-3.00, 1 Dy 2.99, 3 Li 3.09
Au (0.6217, 0.6217, 0.6217)  4 Y 2.99-3.00, 1 Dy 2.99, 3 Li 3.09
Au (0.8711, 0.8711, 0.8711)  3 Dy 3.03, 4 Y 3.13-3.15, 1 Li 3.17

---

Record 5
KV2FeNi: relaxed, PBE-GGA.

Output
- Symmetry: No. 123
- Formation energy from the elements: 2.62 eV/atom
- Raw total energy: -20.5 eV for the cell shown

a = 4.2277 Å, b = 4.2277 Å, c = 4.0762 Å
α = 90.00°, β = 90.00°, γ = 90.00°
Last column: nearest neighbours and their distance in Å.
Fractional coordinates of all 5 atoms:
K (0.0000, 0.0000, 0.0000)  2 Fe 2.04, 4 V 2.11
V (0.0000, 0.5000, 0.0000)  2 K 2.11
V (0.5000, 0.0000, 0.0000)  2 K 2.11
Fe (0.0000, 0.0000, 0.5000)  2 K 2.04
Ni (0.5000, 0.5000, 0.5000)  8 V 2.94, 4 Fe 2.99

---

Record 6
TiPd15Pb4: relaxed, PBE-GGA.

Output
- Symmetry: No. 123
- Formation energy from the elements: -0.36 eV/atom
- Raw total energy: -107.8 eV for the cell shown

a = 4.0667 Å, b = 4.0667 Å, c = 20.4449 Å
α = 90.00°, β = 90.00°, γ = 90.00°
Last column: nearest neighbours and their distance in Å.
Fractional coordinates of all 20 atoms:
Ti (0.0000, 0.0000, 0.0000)  12 Pd 2.75-2.88
Pd (0.0000, 0.5000, 0.0905)  8 Pd 2.75-2.94, 2 Ti 2.75, 2 Pb 2.95
Pd (0.0000, 0.5000, 0.2963)  8 Pd 2.88-2.91, 4 Pb 2.90-2.92
Pd (0.0000, 0.5000, 0.5000)  8 Pd 2.88-2.92, 4 Pb 2.90
Pd (0.0000, 0.5000, 0.7037)  8 Pd 2.88-2.91, 4 Pb 2.90-2.92
Pd (0.0000, 0.5000, 0.9095)  8 Pd 2.75-2.94, 2 Ti 2.75, 2 Pb 2.95
Pd (0.5000, 0.0000, 0.0905)  8 Pd 2.75-2.94, 2 Ti 2.75, 2 Pb 2.95
Pd (0.5000, 0.0000, 0.2963)  8 Pd 2.88-2.91, 4 Pb 2.90-2.92
Pd (0.5000, 0.0000, 0.5000)  8 Pd 2.88-2.92, 4 Pb 2.90
Pd (0.5000, 0.0000, 0.7037)  8 Pd 2.88-2.91, 4 Pb 2.90-2.92
Pd (0.5000, 0.0000, 0.9095)  8 Pd 2.75-2.94, 2 Ti 2.75, 2 Pb 2.95
Pd (0.5000, 0.5000, 0.0000)  8 Pd 2.75, 4 Ti 2.88
Pd (0.5000, 0.5000, 0.1941)  4 Pb 2.88, 8 Pd 2.91-2.94
Pd (0.5000, 0.5000, 0.3978)  4 Pb 2.88, 8 Pd 2.91-2.92
Pd (0.5000, 0.5000, 0.6022)  4 Pb 2.88, 8 Pd 2.91-2.92
Pd (0.5000, 0.5000, 0.8059)  4 Pb 2.88, 8 Pd 2.91-2.94
Pb (0.0000, 0.0000, 0.1952)  12 Pd 2.88-2.95
Pb (0.0000, 0.0000, 0.3986)  12 Pd 2.88-2.92
Pb (0.0000, 0.0000, 0.6014)  12 Pd 2.88-2.92
Pb (0.0000, 0.0000, 0.8048)  12 Pd 2.88-2.95

---

Record 7
CuSb2N: relaxed, PBE-GGA.

Output
- ΔE_f (raw): 448.2 meV/atom
- Symmetry: No. 122
- Raw total energy: -37.7 eV for the cell shown

a = 6.6849 Å, b = 6.6849 Å, c = 6.6849 Å
α = 131.31°, β = 131.31°, γ = 71.32°
Last column: nearest neighbours and their distance in Å.
Fractional coordinates of all 8 atoms:
Cu (0.0000, 0.0000, 0.0000)  4 Sb 2.50
Cu (0.7500, 0.2500, 0.5000)  4 Sb 2.50
Sb (0.1627, 0.6250, 0.0377)  2 N 2.26, 2 Cu 2.50
Sb (0.3750, 0.4127, 0.5377)  2 N 2.26, 2 Cu 2.50
Sb (0.5873, 0.1250, 0.9623)  2 N 2.26, 2 Cu 2.50
Sb (0.8750, 0.8373, 0.4623)  2 N 2.26, 2 Cu 2.50
N (0.2500, 0.7500, 0.5000)  4 Sb 2.26
N (0.5000, 0.5000, 0.0000)  4 Sb 2.26

---

Record 8
La2ZrBr: relaxed, PBE-GGA.

Output
- ΔE_f (raw): -13.0 meV/atom
- Symmetry: No. 71
- Raw total energy: -20.1 eV for the cell shown
- Offset from the most stable computed form: 0.4503 eV per atom

a = 6.3819 Å, b = 6.3819 Å, c = 6.3819 Å
α = 145.16°, β = 120.25°, γ = 71.06°
Last column: nearest neighbours and their distance in Å.
Fractional coordinates of all 4 atoms:
La (0.2403, 0.2403, 0.0000)  2 Br 3.14, 2 Zr 3.31
La (0.7597, 0.7597, 0.0000)  2 Br 3.14, 2 Zr 3.31
Zr (0.5000, 0.0000, 0.5000)  4 La 3.31
Br (0.0000, 0.5000, 0.5000)  4 La 3.14

---

no.,theoretical density (g cm⁻³)
1,7.153
2,3.534
3,8.884
4,10.631
5,5.824
6,12.145
7,6.463
8,5.909